Below is a relaxed structure of PNCl3, with properties calculated at the GGA-PBEsol level.

abc: 4.3005 4.3005 4.3005
angles: 90.00 90.00 90.00
Space group Pm-3m (No. 221)
Inequivalent atoms, fractional coordinates:
P (0.0000, 0.0000, 0.0000) x1
N (0.5000, 0.5000, 0.5000) x1
Cl (0.0000, 0.5000, 0.5000) x3

Calculated values
Its offset from the most stable computed form is 424 meV per atom. For the final energy, the calculation gives -2.88 eV/atom. As for the crystal system: cubic. As for the density of states at the Fermi level: 0.3887 states/eV per atom. The energy relative to the elements, uncorrected is 1.19 eV/atom. As for the theoretical density: 3.16 g cm⁻³.